NdNbSn2 | PBE | relaxed

Structure (POSCAR):
```
NdNbSn2
1.0
1.635 0.944 11.207
-1.635 0.944 11.207
0.000 -1.888 11.207
Nd Nb Sn
1 1 2
Cartesian
0.000 0.000 0.000
0.000 0.000 16.811
0.000 0.000 3.256
0.000 0.000 30.367
```

Values from the calculation:
As for the formation energy: 0.47 eV/f.u. For the density of states at the Fermi level, the calculation gives 0.93 states/eV/atom. The volume comes out at 103.8 Å³/cell. For the total magnetic moment, the calculation gives 0.00 μB/cell.